Density functional theory data (PBE-GGA) for crystalline AcPaPt at its relaxed geometry.

Results
- volume (A^3/atom) = 27.098
- excess energy over the best structure of this formula in the dataset (kJ/mol of formula units) = 0
- energy of formation from the pure elements (eV per atom) = -0.350
- space-group type = C2/m

Cell: 3.702 6.440 7.532 Å, 108.20 90.00 106.70°
Fractional positions:
Ac: 0.657 0.315 0.315
Ac: 0.343 0.685 0.685
Pa: 0.372 0.743 0.178
Pa: 0.628 0.257 0.822
Pt: 0.000 0.000 0.500
Pt: 0.000 0.000 0.000